Record 1
# PBE LaAgBi2, optimized geometry
data_LaAgBi2
_chemical_formula_sum 'La1 Ag1 Bi2'
_space_group_name_H-M_alt 'P 4/m m m'
_space_group_IT_number 123
_space_group_name_Hall '-P 4 2'
_cell_length_a 4.984
_cell_length_b 4.984
_cell_length_c 4.589
_cell_angle_alpha 90.00
_cell_angle_beta 90.00
_cell_angle_gamma 90.00
loop_
_atom_site_label
_atom_site_fract_x
_atom_site_fract_y
_atom_site_fract_z
_atom_site_occupancy
La1 0.000 0.000 0.000 1
Ag1 0.500 0.500 0.000 1
Bi1 0.000 0.500 0.500 1
# Theoretical density in g/cm³: 9.7
# Raw total energy in eV/atom: -4.380

***

Record 2
# PBE LiErZrPd, optimized geometry
data_LiErZrPd
_chemical_formula_sum 'Li4 Er4 Zr4 Pd4'
_space_group_name_H-M_alt 'F -4 3 m'
_space_group_IT_number 216
_space_group_name_Hall 'F -4 2 3'
_cell_length_a 6.865
_cell_length_b 6.865
_cell_length_c 6.865
_cell_angle_alpha 90.00
_cell_angle_beta 90.00
_cell_angle_gamma 90.00
loop_
_atom_site_label
_atom_site_fract_x
_atom_site_fract_y
_atom_site_fract_z
_atom_site_occupancy
Li1 0.000 0.000 0.000 1
Er1 0.250 0.250 0.250 1
Zr1 0.250 0.250 0.750 1
Pd1 0.000 0.000 0.500 1
# Theoretical density in g/cm³: 7.6
# Raw total energy in eV/atom: -5.299

***

Record 3
# PBE Cs4Ac3YS8, optimized geometry
data_Cs4Ac3YS8
_chemical_formula_sum 'Cs12 Ac9 Y3 S24'
_space_group_name_H-M_alt 'R -3 m'
_space_group_IT_number 166
_space_group_name_Hall '-R 3 2"'
_cell_length_a 8.7956
_cell_length_b 8.7956
_cell_length_c 24.3459
_cell_angle_alpha 90.00
_cell_angle_beta 90.00
_cell_angle_gamma 120.00
loop_
_atom_site_label
_atom_site_fract_x
_atom_site_fract_y
_atom_site_fract_z
_atom_site_occupancy
Cs1 0.0000 0.0000 0.0000 1
Cs2 0.0000 0.5000 0.0000 1
Ac1 0.0000 0.5000 0.5000 1
Y1 0.0000 0.0000 0.5000 1
S1 0.0000 0.0000 0.2315 1
S2 0.0169 0.5085 0.2290 1
# Theoretical density in g/cm³: 4.8
# Raw total energy in eV/atom: -5.301
# Formation energy without anion corrections in eV per atom: -1.849

***

Record 4
# PBE MgSnHO, optimized geometry
data_MgSnHO
_chemical_formula_sum 'Mg3 Sn3 H3 O3'
_space_group_name_H-M_alt 'R 3 m'
_space_group_IT_number 160
_space_group_name_Hall 'R 3 -2"'
_cell_length_a 3.2881
_cell_length_b 3.2881
_cell_length_c 20.6080
_cell_angle_alpha 90.00
_cell_angle_beta 90.00
_cell_angle_gamma 120.00
loop_
_atom_site_label
_atom_site_fract_x
_atom_site_fract_y
_atom_site_fract_z
_atom_site_occupancy
Mg1 0.0000 0.0000 0.0000 1
Sn1 0.0000 0.0000 0.1879 1
H1 0.0000 0.0000 0.0929 1
O1 0.0000 0.0000 0.3083 1
# Theoretical density in g/cm³: 4.1
# Raw total energy in eV/atom: -4.464
# Distance to the lowest polymorph of the same formula in meV per atom: 91

***

Record 5
# PBE Sr3Zn2CdAg6, optimized geometry
data_Sr3Zn2CdAg6
_chemical_formula_sum 'Sr3 Zn2 Cd1 Ag6'
_space_group_name_H-M_alt 'P -3 m 1'
_space_group_IT_number 164
_space_group_name_Hall '-P 3 2"'
_cell_length_a 6.2033
_cell_length_b 6.2033
_cell_length_c 9.1302
_cell_angle_alpha 90.00
_cell_angle_beta 90.00
_cell_angle_gamma 120.00
loop_
_atom_site_label
_atom_site_fract_x
_atom_site_fract_y
_atom_site_fract_z
_atom_site_occupancy
Sr1 0.0000 0.0000 0.0000 1
Sr2 0.3333 0.6667 0.6138 1
Zn1 0.3333 0.6667 0.0194 1
Cd1 0.0000 0.0000 0.5000 1
Ag1 0.1804 0.3607 0.2707 1
# Theoretical density in g/cm³: 6.3
# Raw total energy in eV/atom: -2.231

***

Record 6
# PBE LiTcP2O, optimized geometry
data_LiTcP2O
_chemical_formula_sum 'Li1 Tc1 P2 O1'
_space_group_name_H-M_alt 'P 4/m m m'
_space_group_IT_number 123
_space_group_name_Hall '-P 4 2'
_cell_length_a 4.501
_cell_length_b 4.501
_cell_length_c 3.129
_cell_angle_alpha 90.00
_cell_angle_beta 90.00
_cell_angle_gamma 90.00
loop_
_atom_site_label
_atom_site_fract_x
_atom_site_fract_y
_atom_site_fract_z
_atom_site_occupancy
Li1 0.000 0.000 0.000 1
Tc1 0.500 0.500 0.500 1
P1 0.000 0.500 0.000 1
O1 0.000 0.000 0.500 1
# Theoretical density in g/cm³: 4.8
# Raw total energy in eV/atom: -5.051
# Formation energy without anion corrections in eV per atom: 0.560
# Distance to the lowest polymorph of the same formula in meV per atom: 797